Entry 1:
Below is a relaxed structure of LaP5, with properties calculated at the PBE-GGA level.

CIF file:
```
data_LaP5
_space_group_name_H-M_alt 'C m m m'
_space_group_IT_number 65
_space_group_name_Hall '-C 2 2'
_cell_length_a 5.053
_cell_length_b 12.122
_cell_length_c 3.539
_cell_angle_alpha 90.00
_cell_angle_beta 90.00
_cell_angle_gamma 90.00
loop_
_atom_site_label
_atom_site_fract_x
_atom_site_fract_y
_atom_site_fract_z
La1 0.000 0.000 0.000
P1 0.000 0.232 0.500
P2 0.000 0.357 0.000
P3 0.000 0.500 0.500
```

Summary:
density: 4.500 g cm⁻³
total DFT energy (no corrections): -67.40 eV per cell
total magnetic moment: 0.000 Bohr magnetons per cell
ΔH_f (0 K): -0.287 eV per atom

---

Entry 2:
Below is a relaxed structure of NaBO2, with properties calculated at the PBE-GGA level.

CIF file:
```
data_NaBO2
_space_group_name_H-M_alt 'R -3 m'
_space_group_IT_number 166
_space_group_name_Hall '-R 3 2"'
_cell_length_a 2.5615
_cell_length_b 2.5615
_cell_length_c 17.6139
_cell_angle_alpha 90.00
_cell_angle_beta 90.00
_cell_angle_gamma 120.00
loop_
_atom_site_label
_atom_site_fract_x
_atom_site_fract_y
_atom_site_fract_z
Na1 0.0000 0.0000 0.0000
B1 0.0000 0.0000 0.5000
O1 0.0000 0.0000 0.1170
```

Summary:
density: 3.275 g cm⁻³
total DFT energy (no corrections): -65.65 eV per cell
total magnetic moment: 0.000 Bohr magnetons per cell
raw formation energy: -0.99 eV/atom

---

Entry 3:
Below is a relaxed structure of ZrBeSb2, with properties calculated at the PBE-GGA level.

CIF file:
```
data_ZrBeSb2
_space_group_name_H-M_alt 'I -4 m 2'
_space_group_IT_number 119
_space_group_name_Hall 'I -4 -2'
_cell_length_a 4.093
_cell_length_b 4.093
_cell_length_c 10.033
_cell_angle_alpha 90.00
_cell_angle_beta 90.00
_cell_angle_gamma 90.00
loop_
_atom_site_label
_atom_site_fract_x
_atom_site_fract_y
_atom_site_fract_z
Zr1 0.000 0.000 0.000
Be1 0.000 0.500 0.750
Sb1 0.000 0.000 0.500
Sb2 0.000 0.500 0.250
```

Summary:
density: 6.794 g cm⁻³
total DFT energy (no corrections): -40.59 eV per cell
total magnetic moment: 0.000 Bohr magnetons per cell
raw formation energy: 0.06 eV/atom

---

Entry 4:
Below is a relaxed structure of La8TbEr4, with properties calculated at the PBE-GGA level.

CIF file:
```
data_La8TbEr4
_space_group_name_H-M_alt 'R -3 m'
_space_group_IT_number 166
_space_group_name_Hall '-R 3 2"'
_cell_length_a 11.2588
_cell_length_b 11.2588
_cell_length_c 13.7187
_cell_angle_alpha 90.00
_cell_angle_beta 90.00
_cell_angle_gamma 120.00
loop_
_atom_site_label
_atom_site_fract_x
_atom_site_fract_y
_atom_site_fract_z
La1 0.0000 0.0000 0.2387
La2 0.0138 0.5069 0.7453
Tb1 0.0000 0.0000 0.5000
Er1 0.0000 0.0000 0.0000
Er2 0.0000 0.5000 0.0000
```

Summary:
density: 6.415 g cm⁻³
total DFT energy (no corrections): -170.75 eV per cell
total magnetic moment: 0.000 Bohr magnetons per cell
ΔH_f (0 K): 0.414 eV per atom

---

Entry 5:
Below is a relaxed structure of ScZnTe2I, with properties calculated at the PBE-GGA level.

CIF file:
```
data_ScZnTe2I
_space_group_name_H-M_alt 'P 4/m m m'
_space_group_IT_number 123
_space_group_name_Hall '-P 4 2'
_cell_length_a 5.619
_cell_length_b 5.619
_cell_length_c 5.681
_cell_angle_alpha 90.00
_cell_angle_beta 90.00
_cell_angle_gamma 90.00
loop_
_atom_site_label
_atom_site_fract_x
_atom_site_fract_y
_atom_site_fract_z
Sc1 0.000 0.000 0.000
Zn1 0.500 0.500 0.500
Te1 0.000 0.500 0.000
I1 0.000 0.000 0.500
```

Summary:
density: 4.560 g cm⁻³
relative energy among the computed polymorphs: 0.0 meV per atom
total DFT energy (no corrections): -16.56 eV per cell
total magnetic moment: 0.000 Bohr magnetons per cell
raw formation energy: -0.22 eV/atom

---

Entry 6:
Below is a relaxed structure of ReNiAu2, with properties calculated at the PBE-GGA level.

CIF file:
```
data_ReNiAu2
_space_group_name_H-M_alt 'P 4 m m'
_space_group_IT_number 99
_cell_length_a 2.780
_cell_length_b 2.780
_cell_length_c 7.987
_cell_angle_alpha 90.00
_cell_angle_beta 90.00
_cell_angle_gamma 90.00
loop_
_space_group_symop_operation_xyz
'x,y,z'
'-y,x,z'
'-x,-y,z'
'y,-x,z'
'-x,y,z'
'y,x,z'
'x,-y,z'
'-y,-x,z'
loop_
_atom_site_label
_atom_site_fract_x
_atom_site_fract_y
_atom_site_fract_z
Re1 0.000 0.000 0.000
Ni1 0.500 0.500 0.800
Au1 0.000 0.000 0.557
Au2 0.500 0.500 0.267
```

Summary:
density: 17.185 g cm⁻³
relative energy among the computed polymorphs: 0.0 meV per atom
total DFT energy (no corrections): -24.10 eV per cell
total magnetic moment: 0.000 Bohr magnetons per cell
ΔH_f (0 K): 0.170 eV per atom

---

Entry 7:
Below is a relaxed structure of ScAlZnIr, with properties calculated at the PBE-GGA level.

CIF file:
```
data_ScAlZnIr
_space_group_name_H-M_alt 'F -4 3 m'
_space_group_IT_number 216
_space_group_name_Hall 'F -4 2 3'
_cell_length_a 6.324
_cell_length_b 6.324
_cell_length_c 6.324
_cell_angle_alpha 90.00
_cell_angle_beta 90.00
_cell_angle_gamma 90.00
loop_
_atom_site_label
_atom_site_fract_x
_atom_site_fract_y
_atom_site_fract_z
Sc1 0.000 0.000 0.000
Al1 0.000 0.000 0.500
Zn1 0.250 0.250 0.250
Ir1 0.250 0.250 0.750
```

Summary:
density: 8.657 g cm⁻³
relative energy among the computed polymorphs: 0.0 meV per atom
total DFT energy (no corrections): -91.15 eV per cell
total magnetic moment: 0.000 Bohr magnetons per cell
ΔH_f (0 K): -0.644 eV per atom

---

Entry 8:
Below is a relaxed structure of ScGe2Pd, with properties calculated at the PBE-GGA level.

CIF file:
```
data_ScGe2Pd
_space_group_name_H-M_alt 'P 4/m m m'
_space_group_IT_number 123
_space_group_name_Hall '-P 4 2'
_cell_length_a 4.163
_cell_length_b 4.163
_cell_length_c 3.934
_cell_angle_alpha 90.00
_cell_angle_beta 90.00
_cell_angle_gamma 90.00
loop_
_atom_site_label
_atom_site_fract_x
_atom_site_fract_y
_atom_site_fract_z
Sc1 0.000 0.000 0.000
Ge1 0.000 0.500 0.500
Pd1 0.500 0.500 0.000
```

Summary:
density: 7.225 g cm⁻³
total DFT energy (no corrections): -23.12 eV per cell
total magnetic moment: 0.000 Bohr magnetons per cell
ΔH_f (0 K): -0.590 eV per atom

---

Entry 9:
Below is a relaxed structure of Ho2HfSc, with properties calculated at the PBE-GGA level.

CIF file:
```
data_Ho2HfSc
_space_group_name_H-M_alt 'R -3 m'
_space_group_IT_number 166
_space_group_name_Hall '-R 3 2"'
_cell_length_a 3.3512
_cell_length_b 3.3512
_cell_length_c 32.8554
_cell_angle_alpha 90.00
_cell_angle_beta 90.00
_cell_angle_gamma 120.00
loop_
_atom_site_label
_atom_site_fract_x
_atom_site_fract_y
_atom_site_fract_z
Ho1 0.0000 0.0000 0.2474
Hf1 0.0000 0.0000 0.5000
Sc1 0.0000 0.0000 0.0000
```

Summary:
density: 8.626 g cm⁻³
relative energy among the computed polymorphs: 8.0 meV per atom
total DFT energy (no corrections): -74.90 eV per cell
total magnetic moment: 0.001 Bohr magnetons per cell
ΔH_f (0 K): 0.118 eV per atom

---

Entry 10:
Below is a relaxed structure of MnRu4Rh, with properties calculated at the PBE-GGA level.

CIF file:
```
data_MnRu4Rh
_space_group_name_H-M_alt 'F -4 3 m'
_space_group_IT_number 216
_space_group_name_Hall 'F -4 2 3'
_cell_length_a 7.149
_cell_length_b 7.149
_cell_length_c 7.149
_cell_angle_alpha 90.00
_cell_angle_beta 90.00
_cell_angle_gamma 90.00
loop_
_atom_site_label
_atom_site_fract_x
_atom_site_fract_y
_atom_site_fract_z
Mn1 0.000 0.000 0.000
Ru1 0.125 0.125 0.375
Rh1 0.250 0.250 0.750
```

Summary:
density: 10.219 g cm⁻³
total DFT energy (no corrections): -202.13 eV per cell
total magnetic moment: 2.467 Bohr magnetons per cell
ΔH_f (0 K): 0.515 eV per atom

---

Entry 11:
Below is a relaxed structure of InOs2Se, with properties calculated at the PBE-GGA level.

CIF file:
```
data_InOs2Se
_space_group_name_H-M_alt 'P m m 2'
_space_group_IT_number 25
_cell_length_a 2.811
_cell_length_b 3.491
_cell_length_c 7.688
_cell_angle_alpha 90.00
_cell_angle_beta 90.00
_cell_angle_gamma 90.00
loop_
_space_group_symop_operation_xyz
'x,y,z'
'-x,-y,z'
'-x,y,z'
'x,-y,z'
loop_
_atom_site_label
_atom_site_fract_x
_atom_site_fract_y
_atom_site_fract_z
In1 0.000 0.000 0.000
Os1 0.000 0.000 0.581
Os2 0.500 0.500 0.746
Se1 0.000 0.500 0.326
```

Summary:
density: 12.640 g cm⁻³
relative energy among the computed polymorphs: 0.0 meV per atom
total DFT energy (no corrections): -27.40 eV per cell
total magnetic moment: 0.000 Bohr magnetons per cell
raw formation energy: 0.32 eV/atom

---

Entry 12:
Below is a relaxed structure of Ac5Tm3Sn12, with properties calculated at the PBE-GGA level.

CIF file:
```
data_Ac5Tm3Sn12
_space_group_name_H-M_alt 'I a -3 d'
_space_group_IT_number 230
_space_group_name_Hall '-I 4bd 2c 3'
_cell_length_a 18.530
_cell_length_b 18.530
_cell_length_c 18.530
_cell_angle_alpha 90.00
_cell_angle_beta 90.00
_cell_angle_gamma 90.00
loop_
_atom_site_label
_atom_site_fract_x
_atom_site_fract_y
_atom_site_fract_z
Ac1 0.000 0.000 0.000
Ac2 0.000 0.250 0.375
Tm1 0.000 0.250 0.125
Sn1 0.004 0.082 0.157
```

Summary:
density: 6.402 g cm⁻³
total DFT energy (no corrections): -683.76 eV per cell
total magnetic moment: 0.000 Bohr magnetons per cell
ΔH_f (0 K): -0.174 eV per atom

---

Entry 13:
Below is a relaxed structure of ZnW2Se, with properties calculated at the PBE-GGA level.

CIF file:
```
data_ZnW2Se
_space_group_name_H-M_alt 'I -4 m 2'
_space_group_IT_number 119
_space_group_name_Hall 'I -4 -2'
_cell_length_a 3.989
_cell_length_b 3.989
_cell_length_c 8.032
_cell_angle_alpha 90.00
_cell_angle_beta 90.00
_cell_angle_gamma 90.00
loop_
_atom_site_label
_atom_site_fract_x
_atom_site_fract_y
_atom_site_fract_z
Zn1 0.000 0.000 0.000
W1 0.000 0.000 0.500
W2 0.000 0.500 0.250
Se1 0.000 0.500 0.750
```

Summary:
density: 13.303 g cm⁻³
relative energy among the computed polymorphs: 376.3 meV per atom
total DFT energy (no corrections): -55.96 eV per cell
total magnetic moment: 0.000 Bohr magnetons per cell
raw formation energy: 0.67 eV/atom

---

Entry 14:
Below is a relaxed structure of PrSmHo2Tl2, with properties calculated at the PBE-GGA level.

CIF file:
```
data_PrSmHo2Tl2
_space_group_name_H-M_alt 'P m c 21'
_space_group_IT_number 26
_cell_length_a 5.150
_cell_length_b 10.185
_cell_length_c 6.847
_cell_angle_alpha 90.00
_cell_angle_beta 90.00
_cell_angle_gamma 90.00
loop_
_space_group_symop_operation_xyz
'x,y,z'
'-x,-y,z+1/2'
'-x,y,z'
'x,-y,z+1/2'
loop_
_atom_site_label
_atom_site_fract_x
_atom_site_fract_y
_atom_site_fract_z
Pr1 0.000 0.042 0.000
Sm1 0.500 0.191 0.730
Ho1 0.000 0.318 0.380
Ho2 0.500 0.458 0.098
Tl1 0.000 0.373 0.843
Tl2 0.500 0.144 0.262
```

Summary:
density: 9.523 g cm⁻³
total DFT energy (no corrections): -49.97 eV per cell
total magnetic moment: 0.000 Bohr magnetons per cell
ΔH_f (0 K): -0.267 eV per atom

---

Entry 15:
Below is a relaxed structure of LiScP, with properties calculated at the PBE-GGA level.

CIF file:
```
data_LiScP
_space_group_name_H-M_alt 'F -4 3 m'
_space_group_IT_number 216
_space_group_name_Hall 'F -4 2 3'
_cell_length_a 6.016
_cell_length_b 6.016
_cell_length_c 6.016
_cell_angle_alpha 90.00
_cell_angle_beta 90.00
_cell_angle_gamma 90.00
loop_
_atom_site_label
_atom_site_fract_x
_atom_site_fract_y
_atom_site_fract_z
Li1 0.000 0.000 0.000
Sc1 0.000 0.000 0.500
P1 0.250 0.250 0.750
```

Summary:
density: 2.527 g cm⁻³
total DFT energy (no corrections): -65.73 eV per cell
total magnetic moment: 0.001 Bohr magnetons per cell
ΔH_f (0 K): -0.925 eV per atom

---

Entry 16:
Below is a relaxed structure of Co7Pt, with properties calculated at the PBE-GGA level.

CIF file:
```
data_Co7Pt
_space_group_name_H-M_alt 'F m -3 m'
_space_group_IT_number 225
_space_group_name_Hall '-F 4 2 3'
_cell_length_a 7.212
_cell_length_b 7.212
_cell_length_c 7.212
_cell_angle_alpha 90.00
_cell_angle_beta 90.00
_cell_angle_gamma 90.00
loop_
_atom_site_label
_atom_site_fract_x
_atom_site_fract_y
_atom_site_fract_z
Co1 0.000 0.000 0.000
Co2 0.000 0.250 0.250
Pt1 0.000 0.000 0.500
```

Summary:
density: 10.761 g cm⁻³
total DFT energy (no corrections): -223.32 eV per cell
total magnetic moment: 51.286 Bohr magnetons per cell
ΔH_f (0 K): -0.006 eV per atom